Model i:
PBE PmTeAuO, optimized geometry; magnetic moment = 0.002 Bohr magnetons per cell; symmetry = P2_1/c (14)
1.0
-3.354 -6.890 1.144
0.809 -1.431 -6.246
5.719 -2.631 1.344
O Au Te Pm
4 4 4 4
Cartesian
4.233 -6.407 0.297
1.361 -5.070 -0.282
1.813 -5.882 -3.476
-1.058 -4.545 -4.055
3.255 -2.832 -4.250
-0.080 -8.121 0.492
-2.865 -6.939 -0.763
6.039 -4.013 -2.995
1.764 -8.159 -1.478
-0.748 -7.457 -4.830
3.923 -3.495 1.072
1.410 -2.794 -2.280
3.441 -5.432 -1.791
2.222 -6.181 1.563
0.952 -4.772 -5.321
-0.267 -5.520 -1.967

Model ii:
PBE PmTeAuO, optimized geometry; magnetic moment = 0.003 Bohr magnetons per cell; symmetry = P4/nmm (129)
1.0
-5.448 -1.003 1.803
0.543 -5.609 -1.479
3.423 -2.090 9.183
O Te Au Pm
4 4 4 4
Cartesian
-3.950 -2.155 0.984
-1.226 -1.653 0.083
-0.954 -4.458 -0.657
-3.678 -4.959 0.245
2.424 -1.480 6.502
-1.726 -1.111 3.579
1.270 -3.414 1.938
-0.029 -4.786 6.665
0.756 -5.501 3.931
-1.968 -6.003 4.832
-2.240 -3.199 5.571
0.484 -2.697 4.670
0.387 -0.236 1.038
0.313 -2.356 9.049
3.309 -4.658 7.408
-2.065 -3.542 1.201

Model iii:
PBE PmTeAuO, optimized geometry; magnetic moment = 0.003 Bohr magnetons per cell; symmetry = P4bm (100)
1.0
5.822 0.000 0.000
0.000 5.822 0.000
0.000 0.000 10.114
Au Te Pm O
4 4 4 4
Cartesian
3.967 1.056 4.941
1.056 1.856 4.941
1.856 4.767 4.941
4.767 3.967 4.941
0.000 0.000 2.986
2.911 0.000 7.248
0.000 2.911 7.248
2.911 2.911 2.986
2.911 0.000 1.151
0.000 2.911 1.151
0.000 0.000 9.000
2.911 2.911 9.000
4.375 4.358 0.038
4.358 1.447 0.038
1.447 1.464 0.038
1.464 4.375 0.038

Result of the stability comparison: model i is the least stable of them.

Model i:
PBE PrTeAuO, optimized geometry; magnetic moment = 0.002 Bohr magnetons per cell; symmetry = P4/nmm (129)
1.0
-1.325 3.106 -2.468
-3.208 -2.370 -1.260
-5.548 3.550 7.446
O Pr Au Te
2 2 2 2
Cartesian
-2.737 -1.001 -1.562
-1.796 1.737 -2.166
-8.300 3.687 3.780
-1.781 0.598 -0.063
-4.570 3.512 1.557
-5.511 0.774 2.161
-5.044 2.686 4.316
-5.038 1.600 -0.599

Model ii:
PBE PrTeAuO, optimized geometry; magnetic moment = 0.002 Bohr magnetons per cell; symmetry = Pmc2_1 (26)
1.0
4.570 0.000 0.000
0.000 5.847 0.000
0.000 0.000 7.127
Te O Pr Au
2 2 2 2
Cartesian
0.000 3.553 5.236
0.000 2.293 1.673
2.285 0.240 5.838
2.285 5.607 2.274
2.285 4.527 0.326
2.285 1.320 3.890
0.000 4.929 2.918
0.000 0.917 6.481

Result of the stability comparison: model ii is the least stable of them.